Entry a
Cu5Ag4: relaxed, PBE-GGA.

a b c (Å): 11.3883 2.7933 8.5182
angles (deg): 90.00 104.65 90.00
With the nearest neighbours (Å) after each atom.
Space group C2/m (No. 12)
One atom of each set of equivalent atoms:
Cu: 0.0000 0.0000 0.0000 [2 per cell]  8 Ag 2.67-2.70, 2 Cu 2.79
Cu: 0.0015 0.0000 0.6448 [4 per cell]  5 Cu 2.46-2.61, 4 Ag 2.69-2.71
Cu: 0.1644 0.5000 0.5500 [4 per cell]  8 Cu 2.59-2.79, 4 Ag 2.69-2.82
Ag: 0.1564 0.5000 0.8786 [4 per cell]  5 Cu 2.67-2.82, 6 Ag 2.79-2.92
Ag: 0.1584 0.5000 0.2320 [4 per cell]  7 Cu 2.69-2.75, 5 Ag 2.79-3.00


Entry b
Cu5Ag4: relaxed, PBE-GGA.

a b c (Å): 9.3737 2.8276 10.6983
angles (deg): 90.00 112.38 90.00
With the nearest neighbours (Å) after each atom.
Space group Cm (No. 8)
One atom of each set of equivalent atoms:
Cu: 0.0000 0.0000 0.0000 [2 per cell]  4 Cu 2.53-2.83, 7 Ag 2.70-2.82
Cu: 0.0023 0.0000 0.6857 [2 per cell]  4 Cu 2.52-2.53, 5 Ag 2.68-2.75
Cu: 0.1304 0.5000 0.5616 [2 per cell]  6 Cu 2.53-2.83, 5 Ag 2.69-2.74
Cu: 0.1442 0.5000 0.8903 [2 per cell]  4 Cu 2.52-2.53, 5 Ag 2.71-2.82
Cu: 0.4838 0.5000 0.3522 [2 per cell]  4 Cu 2.56-2.83, 6 Ag 2.75-2.83
Ag: 0.1488 0.5000 0.2320 [2 per cell]  5 Cu 2.73-2.90, 7 Ag 2.80-2.85
Ag: 0.3171 0.0000 0.4724 [2 per cell]  8 Cu 2.68-2.89, 4 Ag 2.83
Ag: 0.3190 0.0000 0.7818 [2 per cell]  10 Cu 2.70-2.82, 2 Ag 2.83
Ag: 0.3259 0.0000 0.1089 [2 per cell]  7 Cu 2.71-2.83, 5 Ag 2.80-2.85


Entry c
Cu5Ag4: relaxed, PBE-GGA.

a b c (Å): 9.0928 2.7807 11.2587
angles (deg): 90.00 113.72 90.00
With the nearest neighbours (Å) after each atom.
Space group C2/m (No. 12)
One atom of each set of equivalent atoms:
Cu: 0.0000 0.0000 0.0000 [2 per cell]  12 Cu 2.52-2.79
Cu: 0.1654 0.5000 0.9076 [4 per cell]  6 Cu 2.46-2.59, 2 Ag 2.67
Cu: 0.1734 0.5000 0.1927 [4 per cell]  7 Cu 2.52-2.82, 3 Ag 2.75
Ag: 0.0032 0.0000 0.3063 [4 per cell]  5 Cu 2.67-2.75, 5 Ag 2.75-2.85
Ag: 0.1672 0.5000 0.5672 [4 per cell]  10 Ag 2.75-3.04, 2 Cu 2.86


Which of them is least stable? Easy: entry b.


Entry a
Cu5Ag4: relaxed, PBE-GGA.

a b c (Å): 9.0898 2.7774 11.2504
angles (deg): 90.00 113.46 90.00
With the nearest neighbours (Å) after each atom.
Space group Cm (No. 8)
One atom of each set of equivalent atoms:
Cu: 0.0000 0.0000 0.0000 [2 per cell]  7 Cu 2.53-2.79, 3 Ag 2.74-2.77
Cu: 0.0254 0.5000 0.1951 [2 per cell]  9 Cu 2.53-2.78, 3 Ag 2.74-2.77
Cu: 0.0879 0.0000 0.4073 [2 per cell]  6 Cu 2.60-2.78, 5 Ag 2.66-2.71
Cu: 0.2612 0.5000 0.0963 [2 per cell]  8 Cu 2.59-2.79, 4 Ag 2.65-2.66
Cu: 0.3471 0.5000 0.5249 [2 per cell]  4 Cu 2.60-2.78, 7 Ag 2.67-2.80
Ag: 0.1250 0.5000 0.6240 [2 per cell]  5 Cu 2.67-2.71, 5 Ag 2.78-2.89
Ag: 0.2186 0.0000 0.8848 [2 per cell]  5 Cu 2.65-2.77, 5 Ag 2.76-2.84
Ag: 0.3107 0.0000 0.3102 [2 per cell]  10 Cu 2.66-2.77, 2 Ag 2.78
Ag: 0.4239 0.0000 0.7584 [2 per cell]  8 Ag 2.76-2.89, 4 Cu 2.80-2.88


Entry b
Cu5Ag4: relaxed, PBE-GGA.

a b c (Å): 14.0472 2.8067 8.2273
angles (deg): 90.00 125.45 90.00
With the nearest neighbours (Å) after each atom.
Space group C2/m (No. 12)
One atom of each set of equivalent atoms:
Cu: 0.0000 0.0000 0.0000 [2 per cell]  4 Ag 2.65, 8 Cu 2.66-2.81
Cu: 0.0054 0.0000 0.3286 [4 per cell]  5 Cu 2.58-2.81, 6 Ag 2.67-2.81
Cu: 0.1598 0.5000 0.3282 [4 per cell]  8 Cu 2.58-2.84, 4 Ag 2.65-2.80
Ag: 0.1583 0.5000 0.9956 [4 per cell]  5 Cu 2.65-2.72, 7 Ag 2.81-2.90
Ag: 0.1617 0.5000 0.6526 [4 per cell]  7 Cu 2.65-2.81, 5 Ag 2.81-2.87


Which of them is least stable? Easy: entry b.


Entry a
TmTcAsO: relaxed, PBE-GGA.

Results
total moment	0.17	μB per cell

a b c (Å): 4.1289 6.0109 5.5987
angles (deg): 90.00 90.00 90.00
With the nearest neighbours (Å) after each atom.
Space group Pmc2_1 (No. 26)
One atom of each set of equivalent atoms:
Tm: 0.0000 0.1886 0.0000 [2 per cell]  2 O 2.10
Tc: 0.5000 0.4797 0.7729 [2 per cell]  2 O 2.11-2.16
As: 0.0000 0.3080 0.5104 [2 per cell]  4 Tc 2.74-2.77, 4 Tm 2.83-3.03
O: 0.5000 0.2334 0.0548 [2 per cell]  2 Tm 2.10, 2 Tc 2.11-2.16


Entry b
TmTcAsO: relaxed, PBE-GGA.

Results
total moment	6.64	μB per cell

a b c (Å): 4.3607 4.3607 8.7049
angles (deg): 90.00 90.00 90.00
With the nearest neighbours (Å) after each atom.
Space group P4/nmm (No. 129, origin choice 2)
One atom of each set of equivalent atoms:
Tm: 0.2500 0.7500 0.0000 [2 per cell]  4 As 2.78, 4 Tm 3.08
Tc: 0.2500 0.2500 0.4847 [2 per cell]  4 O 2.18
As: 0.2500 0.2500 0.1977 [2 per cell]  1 Tc 2.50, 4 Tm 2.78
O: 0.2500 0.7500 0.5000 [2 per cell]  4 Tc 2.18


Which of them is least stable? Easy: entry b.


Entry a
NdScTc: relaxed, PBE-GGA.

Results
total moment	1.52	μB per cell

a b c (Å): 6.6152 6.6152 6.6152
angles (deg): 90.00 90.00 90.00
With the nearest neighbours (Å) after each atom.
Space group F-43m (No. 216)
One atom of each set of equivalent atoms:
Nd: 0.0000 0.0000 0.0000 [4 per cell]  4 Tc 2.86, 4 Sc 2.86
Sc: 0.2500 0.2500 0.7500 [4 per cell]  4 Nd 2.86
Tc: 0.2500 0.2500 0.2500 [4 per cell]  4 Nd 2.86


Entry b
NdScTc: relaxed, PBE-GGA.

Results
total moment	0.02	μB per cell

a b c (Å): 6.5862 6.5862 6.5862
angles (deg): 90.00 90.00 90.00
With the nearest neighbours (Å) after each atom.
Space group F-43m (No. 216)
One atom of each set of equivalent atoms:
Nd: 0.0000 0.0000 0.0000 [4 per cell]  4 Sc 2.85
Sc: 0.2500 0.2500 0.2500 [4 per cell]  4 Nd 2.85, 4 Tc 2.85
Tc: 0.0000 0.0000 0.5000 [4 per cell]  4 Sc 2.85


Which of them is least stable? Easy: entry a.


Entry a
BaTbAsO: relaxed, PBE-GGA.

Results
total moment	0.00	μB per cell

a b c (Å): 4.7546 7.6121 6.7082
angles (deg): 90.00 90.00 90.00
With the nearest neighbours (Å) after each atom.
Space group Pmc2_1 (No. 26)
One atom of each set of equivalent atoms:
Ba: 0.0000 0.2008 0.0000 [2 per cell]  2 O 2.74
Tb: 0.5000 0.3924 0.5982 [2 per cell]  2 O 2.17-2.20
As: 0.0000 0.2298 0.4843 [2 per cell]  2 Tb 2.79
O: 0.5000 0.3662 0.9248 [2 per cell]  2 Tb 2.17-2.20


Entry b
BaTbAsO: relaxed, PBE-GGA.

Results
total moment	0.35	μB per cell

a b c (Å): 4.9456 4.9456 9.9341
angles (deg): 90.00 90.00 90.00
With the nearest neighbours (Å) after each atom.
Space group P4/nmm (No. 129, origin choice 2)
One atom of each set of equivalent atoms:
Ba: 0.2500 0.2500 0.0924 [2 per cell]  4 O 2.64
Tb: 0.2500 0.7500 0.5000 [2 per cell]  4 As 2.82
As: 0.2500 0.2500 0.6371 [2 per cell]  4 Tb 2.82
O: 0.2500 0.7500 0.0000 [2 per cell]  4 Ba 2.64


Which of them is least stable? Easy: entry b.


Entry a
Pr: relaxed, PBE-GGA.

Results
total moment	0.07	μB per cell

a b c (Å): 3.7163 3.7163 9.0610
angles (deg): 90.00 90.00 120.00
With the nearest neighbours (Å) after each atom.
Space group R-3m (No. 166, hexagonal axes)
One atom of each set of equivalent atoms:
Pr: 0.0000 0.0000 0.0000 [3 per cell]  12 Pr 3.70-3.72


Entry b
Pr: relaxed, PBE-GGA.

Results
total moment	0.01	μB per cell

a b c (Å): 3.6958 6.5061 6.0234
angles (deg): 90.00 90.00 90.00
With the nearest neighbours (Å) after each atom.
Space group Cmcm (No. 63)
One atom of each set of equivalent atoms:
Pr: 0.0000 0.1587 0.2500 [4 per cell]  12 Pr 3.65-3.74


Which of them is least stable? Easy: entry b.